A geometry-optimized GdTmTiIn structure. Source: the Alexandria database, functional GGA-PBE.

Calculated values
The symmetry is F-43m. Its total energy is -7.37 eV/atom. For the calculated volume, the calculation gives 25.414 A^3/atom.

```
GdTmTiIn
1.0
-0.246 -0.606 5.198
2.329 -4.106 2.271
4.287 0.709 2.926
In Gd Tm Ti
1 1 1 1
Direct
0.750 0.750 0.750 In
0.000 0.000 0.000 Gd
0.500 0.500 0.500 Tm
0.250 0.250 0.250 Ti
```